# LiLaCuPd2

An optimized crystal structure of LiLaCuPd2 (GGA-PBE, Alexandria via LeMat-Bulk).

Cell lengths 4.869, 4.869, 4.207 Å; angles 90.00, 90.00, 90.00 degrees
Atoms (fractional coordinates):
Li  0.000  0.000  0.000
La  0.500  0.500  0.000
Cu  0.000  0.000  0.500
Pd  0.000  0.500  0.500
Pd  0.500  0.000  0.500

Calculated values
Volume, Å³/cell: 100
Total magnetization, μB per formula unit: 0.0
SG: P4/mmm
Calculated formation energy, meV per atom: -286
Uncorrected energy, eV/cell: -22.75